[1]
13
Lattice="6.476 -0.120 0.000 -3.341 5.549 0.000 0.000 0.000 10.747" Properties=species:S:1:pos:R:3 comment="NdEr6Sc6 PBE optimized geometry" rho_g_cm3=6.2 dft_energy_ev_per_cell=-67.3 formation_energy_ev_per_atom=0.217 spacegroup=Cmmm pbc="T T T"
Nd 0.000 0.000 0.000
Er 0.000 0.000 7.055
Er 0.000 0.000 3.693
Er -0.291 3.787 0.000
Er 3.425 1.641 0.000
Er 0.159 3.527 5.374
Er 2.975 1.901 5.374
Sc -1.671 2.774 2.746
Sc 3.238 -0.060 2.746
Sc 1.567 2.714 2.348
Sc 3.238 -0.060 8.001
Sc -1.671 2.774 8.001
Sc 1.567 2.714 8.399

***

[2]
12
Lattice="-5.506 -2.367 -12.783 2.844 -5.575 -0.193 -4.363 -2.306 2.306" Properties=species:S:1:pos:R:3 comment="KYZr PBE optimized geometry" relative_energy_ev_per_atom=0.563 rho_g_cm3=3.0 dft_energy_ev_per_cell=-55.7 formation_energy_ev_per_atom=0.727 spacegroup=Pnma pbc="T T T"
Y 0.000 0.000 0.000
Y -3.513 -5.124 -5.335
Y -4.935 -2.336 -5.239
Y 1.422 -2.787 -0.096
K -3.326 -3.130 -9.401
K -4.284 -7.155 -8.806
K -3.699 -7.117 -1.269
K -2.741 -3.092 -1.864
Zr -6.269 -4.824 -3.817
Zr -0.185 -5.392 0.692
Zr -0.756 -5.423 -6.853
Zr -6.840 -4.855 -11.362

***

[3]
9
Lattice="3.472 0.000 0.000 1.736 7.338 0.060 1.736 3.259 6.574" Properties=species:S:1:pos:R:3 comment="Pa3Ni2S4 PBE optimized geometry" rho_g_cm3=9.3 dft_energy_ev_per_cell=-66.9 spacegroup=Immm pbc="T T T"
Pa 1.736 1.753 1.098
Pa 3.472 5.298 3.317
Pa 5.208 8.843 5.537
Ni 1.736 6.735 1.022
Ni 1.736 3.861 5.613
S 5.208 7.614 2.970
S 1.736 4.599 1.083
S 1.736 2.983 3.664
S 5.208 5.998 5.551

***

[4]
10
Lattice="-1.462 7.660 4.469 -8.867 -1.335 -0.612 0.072 -2.278 3.928" Properties=species:S:1:pos:R:3 comment="Ba2Hg2Pb PBE optimized geometry" relative_energy_ev_per_atom=0.020 rho_g_cm3=8.0 dft_energy_ev_per_cell=-21.1 formation_energy_ev_per_atom=-0.478 spacegroup=P4/mbm pbc="T T T"
Pb 0.000 0.000 0.000
Pb -5.165 3.162 1.928
Hg -8.356 1.734 1.159
Hg -6.787 5.910 3.552
Hg -1.974 4.591 2.698
Hg -3.543 0.414 0.305
Ba -6.259 -0.667 2.353
Ba -8.228 2.976 4.502
Ba -3.999 4.714 5.432
Ba -2.029 1.071 3.283

***

[5]
3
Lattice="-2.354 1.230 -3.272 3.771 -1.760 -0.661 -1.901 -4.020 -0.143" Properties=species:S:1:pos:R:3 comment="RhPbSe PBE optimized geometry" relative_energy_ev_per_atom=0.106 rho_g_cm3=9.4 dft_energy_ev_per_cell=-15.1 spacegroup=P3m1 pbc="T T T"
Pb -0.003 -0.006 0.000
Rh -1.259 -1.769 -2.473
Se 0.778 -2.775 -1.603